DFT (PBE) results for an optimized crystal structure of SmTm2Ir9.

The space group is R-3m (No. 166, hexagonal axes) and the conventional cell measures 5.3118, 5.3118 and 26.2069 Å, with angles of 90.00, 90.00 and 120.00 degrees. The distinct sites, in fractional coordinates, are Sm at (0.0000, 0.0000, 0.0000), Tm at (0.0000, 0.0000, 0.1396), Ir at (0.0000, 0.0000, 0.3331), Ir at (0.0000, 0.0000, 0.5000) and Ir at (0.9996, 0.4998, 0.0829).

As for the spin magnetization: 0.000 μB/atom. As for the density of states at the Fermi level: 1.074 states/eV/atom. Its volume is 640.4 Å³/cell. The calculation puts the formation energy from the elements at -686 kJ/mol of formula units.

DFT (PBE) results for an optimized crystal structure of SmTmIr.

The space group is I4/mmm (No. 139) and the conventional cell measures 4.510, 4.510 and 14.645 Å, with angles of 90.00, 90.00 and 90.00 degrees. The distinct sites, in fractional coordinates, are Sm at (0.000, 0.000, 0.185), Tm at (0.000, 0.500, 0.000) and Ir at (0.000, 0.000, 0.375).

As for the spin magnetization: 0.000 μB/atom. As for the density of states at the Fermi level: 0.941 states/eV/atom. Its volume is 297.9 Å³/cell. The calculation puts the formation energy from the elements at -177 kJ/mol of formula units.

DFT (PBE) results for an optimized crystal structure of Sm2TmIr3.

The space group is Immm (No. 71) and the conventional cell measures 4.697, 5.669 and 10.212 Å, with angles of 90.00, 90.00 and 90.00 degrees. The distinct sites, in fractional coordinates, are Sm at (0.000, 0.000, 0.171), Tm at (0.000, 0.000, 0.500), Ir at (0.000, 0.500, 0.146) and Ir at (0.000, 0.500, 0.500).

As for the spin magnetization: 0.000 μB/atom. As for the density of states at the Fermi level: 0.335 states/eV/atom. Its volume is 271.9 Å³/cell. The calculation puts the formation energy from the elements at -236 kJ/mol of formula units.

DFT (PBE) results for an optimized crystal structure of SmTm2Ir.

The space group is Pnma (No. 62) and the conventional cell measures 7.253, 9.183 and 6.391 Å, with angles of 90.00, 90.00 and 90.00 degrees. The distinct sites, in fractional coordinates, are Sm at (0.033, 0.250, 0.131), Tm at (0.175, 0.064, 0.669) and Ir at (0.118, 0.750, 0.441).

As for the spin magnetization: 0.000 μB/atom. As for the density of states at the Fermi level: 0.998 states/eV/atom. Its volume is 425.7 Å³/cell. The calculation puts the formation energy from the elements at -226 kJ/mol of formula units.

DFT (PBE) results for an optimized crystal structure of Sm2TmIr2.

The space group is C2/c (No. 15) and the conventional cell measures 10.661, 5.751 and 8.162 Å, with angles of 90.00, 106.30 and 90.00 degrees. The distinct sites, in fractional coordinates, are Sm at (0.148, 0.148, 0.150), Tm at (0.000, 0.365, 0.750) and Ir at (0.141, 0.351, 0.505).

As for the spin magnetization: 0.000 μB/atom. As for the density of states at the Fermi level: 0.784 states/eV/atom. Its volume is 480.3 Å³/cell. The calculation puts the formation energy from the elements at -335 kJ/mol of formula units.

DFT (PBE) results for an optimized crystal structure of SmTm2Ir.

The space group is R-3m (No. 166, hexagonal axes) and the conventional cell measures 3.7383, 3.7383 and 31.3132 Å, with angles of 90.00, 90.00 and 120.00 degrees. The distinct sites, in fractional coordinates, are Sm at (0.0000, 0.0000, 0.0000), Tm at (0.0000, 0.0000, 0.1146) and Ir at (0.0000, 0.0000, 0.5000).

As for the spin magnetization: 0.000 μB/atom. As for the density of states at the Fermi level: 1.044 states/eV/atom. Its volume is 379.0 Å³/cell. The calculation puts the formation energy from the elements at -70 kJ/mol of formula units.